Entry 1:
Cs2RbAuCl | GGA-PBE | optimized geometry

Results
Space-group type: P4/nmm
E: -24.13 eV per cell
E above lowest polymorph: 0.0 meV/atom
Raw formation energy: -0.85 eV/atom

a b c (Å): 5.301 5.301 17.441
angles (deg): 90.00 90.00 90.00
Positions (direct):
Cs 0.250 0.250 0.104
Cs 0.250 0.250 0.712
Cs 0.750 0.750 0.288
Cs 0.750 0.750 0.896
Rb 0.250 0.750 0.500
Rb 0.750 0.250 0.500
Au 0.250 0.250 0.347
Au 0.750 0.750 0.653
Cl 0.250 0.250 0.907
Cl 0.750 0.750 0.093

Entry 2:
Cs2Rb3Au2Cl2 | GGA-PBE | optimized geometry

Results
Space-group type: I4/mmm
E: -23.00 eV per cell
Raw formation energy: -0.90 eV/atom

a b c (Å): 10.534 10.534 10.534
angles (deg): 143.72 143.72 52.24
Positions (direct):
Cs 0.100 0.100 0.000
Cs 0.900 0.900 0.000
Rb 0.250 0.750 0.500
Rb 0.500 0.500 0.000
Rb 0.750 0.250 0.500
Au 0.298 0.298 0.000
Au 0.702 0.702 0.000
Cl 0.000 0.500 0.500
Cl 0.500 0.000 0.500